CrInHg (GGA-PBE, optimized geometry); ΔH_f (0 K) = 0.416 eV per atom; magnetization = 0.00 μB/cell; calculated total energy = -22.8 eV per cell; relative energy among the computed polymorphs = 10.96 kJ per mole of atoms; space group = No. 8
1.0
4.986 -2.436 0.000
4.986 2.436 0.000
-4.843 0.000 5.002
Cr In Hg
2 2 2
Direct
0.191 0.809 0.000
0.809 0.191 0.000
0.654 0.654 0.479
0.819 0.819 0.168
0.178 0.178 0.820
0.355 0.355 0.530



CoTc2Br (GGA-PBE, optimized geometry); magnetization = 0.00 μB/cell; calculated total energy = -26.1 eV per cell; uncorrected formation energy = 845 meV/atom; relative energy among the computed polymorphs = 37.72 kJ per mole of atoms; space group = No. 225
1.0
0.000 3.038 3.038
3.038 0.000 3.038
3.038 3.038 0.000
Co Tc Br
1 2 1
Direct
0.000 0.000 0.000
0.250 0.250 0.250
0.750 0.750 0.750
0.500 0.500 0.500



LaTlHg2N (GGA-PBE, optimized geometry); magnetization = 1.25 μB/cell; calculated total energy = -10.5 eV per cell; uncorrected formation energy = 1149 meV/atom; relative energy among the computed polymorphs = 50.76 kJ per mole of atoms; space group = No. 123
1.0
5.407 0.000 0.000
0.000 5.407 0.000
0.000 0.000 6.416
La Tl Hg N
1 1 2 1
Direct
0.000 0.000 0.000
0.000 0.000 0.500
0.000 0.500 0.500
0.500 0.000 0.500
0.500 0.500 0.000



ThMgGe2Rh2 (GGA-PBE, optimized geometry); ΔH_f (0 K) = -0.776 eV per atom; magnetization = 0.00 μB/cell; calculated total energy = -37.6 eV per cell; space group = No. 164
1.0
4.312 0.000 0.000
-2.156 3.734 0.000
0.000 0.000 6.875
Th Mg Ge Rh
1 1 2 2
Direct
0.000 0.000 0.000
0.000 0.000 0.500
0.333 0.667 0.268
0.667 0.333 0.732
0.333 0.667 0.645
0.667 0.333 0.355



RbTi3F (GGA-PBE, optimized geometry); magnetization = 3.88 μB/cell; calculated total energy = -16.1 eV per cell; uncorrected formation energy = 2090 meV/atom; relative energy among the computed polymorphs = 155.47 kJ per mole of atoms; space group = No. 221
1.0
4.813 0.000 0.000
0.000 4.813 0.000
0.000 0.000 4.813
Rb Ti F
1 3 1
Direct
0.000 0.000 0.000
0.000 0.000 0.500
0.000 0.500 0.000
0.500 0.000 0.000
0.500 0.500 0.500



SrInO (GGA-PBE, optimized geometry); magnetization = 0.00 μB/cell; calculated total energy = -27.3 eV per cell; uncorrected formation energy = -1416 meV/atom; relative energy among the computed polymorphs = 17.54 kJ per mole of atoms; space group = No. 129
1.0
4.498 0.000 0.000
0.000 4.498 0.000
0.000 0.000 7.851
Sr In O
2 2 2
Direct
0.250 0.250 0.109
0.750 0.750 0.891
0.250 0.250 0.583
0.750 0.750 0.417
0.250 0.750 0.000
0.750 0.250 0.000